## GdScIr (PBE-GGA)

Data for an optimized crystal structure of GdScIr.

Properties
The value obtained for the density of states at the Fermi level is 3.5 states/eV/f.u. For the magnetic moment, the calculation gives 7.51 μB/cell. The formation energy is -0.5699 eV/atom.

Cell lengths 3.3000, 3.3000, 6.7044 Å; angles 104.25, 104.25, 90.00 degrees
With the nearest neighbours (Å) after each atom.
Fractional coordinates of all 3 atoms:
Ir 0.6782 0.6782 0.3563  4 Sc 2.75, 4 Gd 3.01
Gd 0.0274 0.0274 0.0548  4 Ir 3.01, 4 Gd 3.30, 1 Sc 3.36
Sc 0.2944 0.2944 0.5889  4 Ir 2.75

---

## KTaTe2 (PBE-GGA)

Data for an optimized crystal structure of KTaTe2.

Properties
The value obtained for the density of states at the Fermi level is 2.8 states/eV/f.u. Its uncorrected formation energy is -0.28 eV/atom. For the magnetic moment, the calculation gives 0.00 μB/cell.

Cell lengths 4.6992, 4.6992, 8.2959 Å; angles 75.84, 75.84, 47.05 degrees
With the nearest neighbours (Å) after each atom.
Fractional coordinates of all 4 atoms:
Te 0.2341 0.2341 0.2080  2 Ta 2.76
Te 0.0698 0.0698 0.8256  3 Ta 2.73-2.82
K 0.4522 0.4522 0.5046  6 Te 3.47-3.64, 2 K 3.75
Ta 0.7438 0.7438 0.9618  5 Te 2.73-2.82